Compound: TbGeTe6
Source: OQMD via LeMat-Bulk
Functional: PBE-GGA
Structure: relaxed

Cell: 8.2303 8.2303 18.4080 Å, 101.40 101.40 28.14°
Sites, in units of the cell vectors:
Ge 0.2837 0.2837 0.0880
Ge 0.7163 0.7163 0.9120
Tb 0.2658 0.2658 0.2468
Tb 0.7342 0.7342 0.7532
Te 0.8624 0.8624 0.0238
Te 0.6194 0.6194 0.1684
Te 0.9181 0.9181 0.2637
Te 0.6640 0.6640 0.3240
Te 0.3988 0.3988 0.3959
Te 0.8267 0.8267 0.4832
Te 0.1733 0.1733 0.5168
Te 0.6012 0.6012 0.6041
Te 0.3360 0.3360 0.6760
Te 0.0819 0.0819 0.7363
Te 0.3806 0.3806 0.8316
Te 0.1376 0.1376 0.9762

Values from the calculation:
Spin magnetization (μB per cell): 0.00
V (Å³/cell): 576
Raw total energy (eV/atom): -3.90

Compound: CuAg7
Source: OQMD via LeMat-Bulk
Functional: PBE-GGA
Structure: relaxed

Cell: 5.0255 2.9204 9.5933 Å, 90.00 100.29 90.00°
Sites, in units of the cell vectors:
Ag 0.5000 0.5000 0.0000
Ag 0.2423 0.5000 0.2401
Ag 0.7524 0.0000 0.2455
Ag 0.5000 0.0000 0.5000
Ag 0.0000 0.5000 0.5000
Ag 0.2476 0.0000 0.7545
Ag 0.7577 0.5000 0.7599
Cu 0.0000 0.0000 0.0000

Values from the calculation:
E_form (meV/atom): 39
Energy above the lowest structure with this stoichiometry (eV/atom): 0.016
V (Å³/cell): 139
Raw total energy (eV/atom): -2.90

Compound: KCu2F6
Source: OQMD via LeMat-Bulk
Functional: PBE-GGA
Structure: relaxed

Cell: 5.2334 5.2334 5.1565 Å, 90.00 90.00 120.00°
Sites, in units of the cell vectors:
Cu 0.6667 0.3333 0.5000
Cu 0.3333 0.6667 0.5000
F 0.6166 0.0000 0.2945
F 0.3834 0.3834 0.2945
F 0.0000 0.6166 0.2945
F 0.3834 0.0000 0.7055
F 0.0000 0.3834 0.7055
F 0.6166 0.6166 0.7055
K 0.0000 0.0000 0.0000

Values from the calculation:
V (Å³/cell): 122
Raw total energy (eV/atom): -3.91

Compound: BeCdInFe
Source: OQMD via LeMat-Bulk
Functional: PBE-GGA
Structure: relaxed

Cell: 4.4644 4.4644 4.4644 Å, 60.00 60.00 60.00°
Sites, in units of the cell vectors:
Be 0.2500 0.2500 0.2500
Cd 0.5000 0.5000 0.5000
Fe 0.7500 0.7500 0.7500
In 0.0000 0.0000 0.0000

Values from the calculation:
Spin magnetization (μB per cell): 2.05
Energy above the lowest structure with this stoichiometry (eV/atom): 0.000
V (Å³/cell): 63
Raw total energy (eV/atom): -3.45

Compound: HfTc2Mo
Source: OQMD via LeMat-Bulk
Functional: PBE-GGA
Structure: relaxed

Cell: 6.3623 6.3706 6.3717 Å, 90.00 90.00 90.00°
Sites, in units of the cell vectors:
Hf 0.2501 0.2500 0.0003
Hf 0.7501 0.7500 0.4997
Hf 0.2499 0.2500 0.5003
Hf 0.7499 0.7500 0.9997
Mo 0.2500 0.7500 0.0015
Mo 0.7500 0.2500 0.4985
Mo 0.2500 0.7500 0.5015
Mo 0.7500 0.2500 0.9985
Tc 0.0000 0.0001 0.2499
Tc 0.0000 0.4999 0.2499
Tc 0.5000 0.5001 0.2501
Tc 0.5000 0.9999 0.2501
Tc 0.5000 0.0001 0.7499
Tc 0.5000 0.4999 0.7499
Tc 0.0000 0.5001 0.7501
Tc 0.0000 0.9999 0.7501

Values from the calculation:
E_form (meV/atom): -274
Spin magnetization (μB per cell): 0.00
Energy above the lowest structure with this stoichiometry (eV/atom): 0.020
V (Å³/cell): 258
Raw total energy (eV/atom): -10.66

Compound: NiBPdAu
Source: OQMD via LeMat-Bulk
Functional: PBE-GGA
Structure: relaxed

Cell: 4.1511 4.1511 4.1511 Å, 60.00 60.00 60.00°
Sites, in units of the cell vectors:
Au 0.2500 0.2500 0.2500
B 0.0000 0.0000 0.0000
Ni 0.5000 0.5000 0.5000
Pd 0.7500 0.7500 0.7500

Values from the calculation:
Spin magnetization (μB per cell): 0.00
Energy above the lowest structure with this stoichiometry (eV/atom): 0.000
V (Å³/cell): 51
Raw total energy (eV/atom): -4.69

Compound: InSnPt2
Source: OQMD via LeMat-Bulk
Functional: PBE-GGA
Structure: relaxed

Cell: 4.1654 4.1654 5.5385 Å, 90.00 90.00 120.00°
Sites, in units of the cell vectors:
In 0.6667 0.3333 0.0000
Pt 0.0000 0.0000 0.2503
Pt 0.0000 0.0000 0.7497
Sn 0.3333 0.6667 0.5000

Values from the calculation:
Spin magnetization (μB per cell): 0.00
V (Å³/cell): 83
Raw total energy (eV/atom): -5.27

Compound: PrBiBr2O2
Source: OQMD via LeMat-Bulk
Functional: PBE-GGA
Structure: relaxed

Cell: 3.9715 3.9715 8.1057 Å, 90.00 90.00 90.00°
Sites, in units of the cell vectors:
Bi 0.5000 0.5000 0.1511
Br 0.0000 0.0000 0.3516
Br 0.5000 0.5000 0.6542
O 0.5000 0.0000 0.0006
O 0.0000 0.5000 0.0006
Pr 0.0000 0.0000 0.8420

Values from the calculation:
Spin magnetization (μB per cell): 0.00
V (Å³/cell): 128
Raw total energy (eV/atom): -5.65

Which value of V does entry 5 give?
258 Å³/cell